(1)
# TePdO2 (GGA-PBE, optimized geometry)
data_TePdO2
_chemical_formula_sum 'Te4 Pd4 O8'
_cell_length_a 4.134
_cell_length_b 4.134
_cell_length_c 13.500
_cell_angle_alpha 90.00
_cell_angle_beta 90.00
_cell_angle_gamma 90.00
_space_group_name_H-M_alt 'I -4 2 d'
_space_group_IT_number 122
_space_group_name_Hall 'I -4 2bw'
loop_
_atom_site_label
_atom_site_fract_x
_atom_site_fract_y
_atom_site_fract_z
Te1 0.000 0.000 0.000
Pd1 0.000 0.000 0.500
O1 0.234 0.250 0.125
# Magnetic moment (μB per atom): 0.0000
# Total energy (eV per formula unit): -19.16

***

(2)
# TePd3O (GGA-PBE, optimized geometry)
data_TePd3O
_chemical_formula_sum 'Te1 Pd3 O1'
_cell_length_a 4.957
_cell_length_b 4.957
_cell_length_c 4.957
_cell_angle_alpha 90.00
_cell_angle_beta 90.00
_cell_angle_gamma 90.00
_space_group_name_H-M_alt 'P m -3 m'
_space_group_IT_number 221
_space_group_name_Hall '-P 4 2 3'
loop_
_atom_site_label
_atom_site_fract_x
_atom_site_fract_y
_atom_site_fract_z
Te1 0.000 0.000 0.000
Pd1 0.000 0.000 0.500
O1 0.500 0.500 0.500
# Relative energy among the computed polymorphs (kJ/mol of formula units): 470
# Magnetic moment (μB per atom): 0.0000
# Total energy (eV per formula unit): -18.88